Entry 1:
The following is a DFT calculation (GGA-PBE) of crystalline PrGaGeAu2 at its relaxed geometry.

Cell: 4.4278 4.4278 10.6970 Å, 90.00 90.00 90.00°
With the nearest neighbours (Å) after each atom.
Fractional coordinates of all 10 atoms:
1 Au 0.5000 0.5000 0.0000  4 Ge 2.65
2 Au 0.0000 0.5000 0.3715  1 Ge 2.51, 4 Ga 2.61
3 Au 0.0000 0.0000 0.0000  4 Ge 2.65
4 Au 0.5000 0.0000 0.6285  1 Ge 2.51, 4 Ga 2.61
5 Pr 0.5000 0.0000 0.2457  4 Ge 3.34, 8 Au 3.41-3.44, 4 Ga 3.51
6 Pr 0.0000 0.5000 0.7543  4 Ge 3.34, 8 Au 3.41-3.44, 4 Ga 3.51
7 Ge 0.5000 0.0000 0.8632  5 Au 2.51-2.65
8 Ge 0.0000 0.5000 0.1368  5 Au 2.51-2.65
9 Ga 0.5000 0.5000 0.5000  4 Au 2.61
10 Ga 0.0000 0.0000 0.5000  4 Au 2.61

Summary:
The volume is 20.972 Å³/atom. For the total moment, the calculation gives 0.00 μB/atom. The value obtained for the energy above the most stable polymorph in this dataset is 0.000 eV/atom. The space-group type is No. 129.



Entry 2:
The following is a DFT calculation (GGA-PBE) of crystalline Tb at its relaxed geometry.

Cell: 6.8104 6.8104 3.6464 Å, 90.00 90.00 129.85°
With the nearest neighbours (Å) after each atom.
Fractional coordinates of all 4 atoms:
1 Tb 0.1372 0.8628 0.0170  9 Tb 3.33-3.65
2 Tb 0.8628 0.1372 0.9830  9 Tb 3.33-3.65
3 Tb 0.3628 0.6372 0.5169  9 Tb 3.33-3.65
4 Tb 0.6372 0.3628 0.4830  9 Tb 3.33-3.65

Summary:
The volume is 32.459 Å³/atom. For the formation energy, the calculation gives 18.8 kJ/mol of atoms. For the total moment, the calculation gives 0.00 μB/atom. The value obtained for the energy above the most stable polymorph in this dataset is 0.194 eV/atom. The space-group type is No. 64.



Number 2 is which compound?
Tb



What is the volume in the second record?
32.459 Å³/atom



Which value of total moment does entry 2 give?
0.00 μB/atom